A plane-wave DFT calculation with PBE was carried out for crystalline RbSnS2 at its relaxed geometry.

formation energy (no corrections): -0.672 eV/atom
crystal system: trigonal
DOS(E_F): 12.10 states/eV per cell

a b c (Å): 4.0767 4.0767 23.1584
angles (deg): 90.00 90.00 120.00
Space group R-3m (No. 166, hexagonal axes)
Inequivalent atoms, fractional coordinates:
Rb (0.0000, 0.0000, 0.0000) x3
Sn (0.0000, 0.0000, 0.5000) x3
S (0.0000, 0.0000, 0.2306) x6